# GdHoAl6, relaxed, DFT GGA-PBE
# * energy relative to the lowest polymorph listed for this composition: 0.0 meV/atom
# * density: 5.1 g cm⁻³
# * energy of formation from the pure elements: -0.430 eV/atom
# * total DFT energy (no corrections): -44.558 eV/cell
data_GdHoAl6
_chemical_formula_sum 'Gd1 Ho1 Al6'
_cell_length_a 6.2503
_cell_length_b 6.2503
_cell_length_c 4.6637
_cell_angle_alpha 90.00
_cell_angle_beta 90.00
_cell_angle_gamma 120.00
_space_group_name_H-M_alt 'P -6 m 2'
_space_group_IT_number 187
_space_group_name_Hall 'P -6 2'
loop_
_atom_site_label
_atom_site_fract_x
_atom_site_fract_y
_atom_site_fract_z
_atom_site_occupancy
Gd1 0.0000 0.0000 0.0000 1
Ho1 0.6667 0.3333 0.5000 1
Al1 0.0388 0.5194 0.0000 1
Al2 0.1867 0.3734 0.5000 1


# Li4FeRe, relaxed, DFT GGA-PBE
# * density: 6.1 g cm⁻³
# * energy of formation from the pure elements: 0.597 eV/atom
# * total DFT energy (no corrections): -99.939 eV/cell
data_Li4FeRe
_chemical_formula_sum 'Li16 Fe4 Re4'
_cell_length_a 6.634
_cell_length_b 6.634
_cell_length_c 6.634
_cell_angle_alpha 90.00
_cell_angle_beta 90.00
_cell_angle_gamma 90.00
_space_group_name_H-M_alt 'F -4 3 m'
_space_group_IT_number 216
_space_group_name_Hall 'F -4 2 3'
loop_
_atom_site_label
_atom_site_fract_x
_atom_site_fract_y
_atom_site_fract_z
_atom_site_occupancy
Li1 0.125 0.125 0.125 1
Fe1 0.250 0.250 0.750 1
Re1 0.000 0.000 0.500 1


# LiSc2Br, relaxed, DFT GGA-PBE
# * raw formation energy: -0.423 eV per atom
# * energy relative to the lowest polymorph listed for this composition: 0.1 meV/atom
# * density: 3.2 g cm⁻³
# * total DFT energy (no corrections): -17.941 eV/cell
data_LiSc2Br
_chemical_formula_sum 'Li1 Sc2 Br1'
_cell_length_a 3.443
_cell_length_b 3.443
_cell_length_c 7.718
_cell_angle_alpha 90.00
_cell_angle_beta 90.00
_cell_angle_gamma 90.00
_space_group_name_H-M_alt 'P 4 m m'
_space_group_IT_number 99
_space_group_name_Hall 'P 4 -2'
loop_
_atom_site_label
_atom_site_fract_x
_atom_site_fract_y
_atom_site_fract_z
_atom_site_occupancy
Li1 0.000 0.000 0.000 1
Sc1 0.000 0.000 0.526 1
Sc2 0.500 0.500 0.272 1
Br1 0.500 0.500 0.871 1


# Ca2TaTl, relaxed, DFT GGA-PBE
# * energy relative to the lowest polymorph listed for this composition: 198.7 meV/atom
# * density: 7.5 g cm⁻³
# * energy of formation from the pure elements: 0.543 eV/atom
# * total DFT energy (no corrections): -32.100 eV/cell
data_Ca2TaTl
_chemical_formula_sum 'Ca4 Ta2 Tl2'
_cell_length_a 3.480
_cell_length_b 5.394
_cell_length_c 10.926
_cell_angle_alpha 90.00
_cell_angle_beta 90.00
_cell_angle_gamma 90.00
_space_group_name_H-M_alt 'I m m m'
_space_group_IT_number 71
_space_group_name_Hall '-I 2 2'
loop_
_atom_site_label
_atom_site_fract_x
_atom_site_fract_y
_atom_site_fract_z
_atom_site_occupancy
Ca1 0.000 0.000 0.247 1
Ta1 0.000 0.500 0.000 1
Tl1 0.000 0.500 0.500 1


# ThGaSb, relaxed, DFT GGA-PBE
# * raw formation energy: -0.416 eV per atom
# * energy relative to the lowest polymorph listed for this composition: 9.6 meV/atom
# * density: 8.6 g cm⁻³
# * total DFT energy (no corrections): -94.895 eV/cell
data_ThGaSb
_chemical_formula_sum 'Th6 Ga6 Sb6'
_cell_length_a 4.3846
_cell_length_b 4.3846
_cell_length_c 29.4955
_cell_angle_alpha 90.00
_cell_angle_beta 90.00
_cell_angle_gamma 120.00
_space_group_name_H-M_alt 'R -3 m'
_space_group_IT_number 166
_space_group_name_Hall '-R 3 2"'
loop_
_atom_site_label
_atom_site_fract_x
_atom_site_fract_y
_atom_site_fract_z
_atom_site_occupancy
Th1 0.0000 0.0000 0.0708 1
Ga1 0.0000 0.0000 0.3386 1
Sb1 0.0000 0.0000 0.1982 1


# Sr2TmMg12Zn3, relaxed, DFT GGA-PBE
# * density: 2.7 g cm⁻³
# * energy of formation from the pure elements: 0.204 eV/atom
# * total DFT energy (no corrections): -81.346 eV/cell
data_Sr2TmMg12Zn3
_chemical_formula_sum 'Sr6 Tm3 Mg36 Zn9'
_cell_length_a 8.9075
_cell_length_b 8.9075
_cell_length_c 22.7627
_cell_angle_alpha 90.00
_cell_angle_beta 90.00
_cell_angle_gamma 120.00
_space_group_name_H-M_alt 'R -3 m'
_space_group_IT_number 166
_space_group_name_Hall '-R 3 2"'
loop_
_atom_site_label
_atom_site_fract_x
_atom_site_fract_y
_atom_site_fract_z
_atom_site_occupancy
Sr1 0.0000 0.0000 0.0840 1
Tm1 0.0000 0.0000 0.5000 1
Mg1 0.0803 0.5402 0.8755 1
Mg2 0.0899 0.5449 0.2790 1
Zn1 0.0000 0.5000 0.0000 1